Record 1
# Cs2K6CdO | Alexandria via LeMat-Bulk | PBE | optimized geometry
data_Cs2K6CdO
_chemical_formula_sum 'Cs4 K12 Cd2 O2'
_cell_length_a 8.097
_cell_length_b 8.097
_cell_length_c 19.400
_cell_angle_alpha 90.00
_cell_angle_beta 90.00
_cell_angle_gamma 90.00
_symmetry_space_group_name_H-M 'I 4 m m'
_symmetry_Int_Tables_number 107
_symmetry_space_group_name_Hall 'I 4 -2'
loop_
_atom_site_label
_atom_site_type_symbol
_atom_site_fract_x
_atom_site_fract_y
_atom_site_fract_z
_atom_site_occupancy
Cs1 Cs 0.000 0.500 0.000 1
K1 K 0.000 0.000 0.135 1
K2 K 0.000 0.000 0.637 1
K3 K 0.219 0.219 0.795 1
Cd1 Cd 0.000 0.000 0.419 1
O1 O 0.000 0.000 0.766 1
# Energy relative to the elements, uncorrected ... -0.2867 eV per atom
# N(E_F) ... 0.54 states/eV per atom
# Total magnetization ... 0.0 μB/cell
# Volume ... 635.9 Å³/f.u.
# Calculated density ... 1.642 g cm⁻³

Record 2
# NdEuGe | Alexandria via LeMat-Bulk | PBE | optimized geometry
data_NdEuGe
_chemical_formula_sum 'Nd1 Eu1 Ge1'
_cell_length_a 4.9275
_cell_length_b 4.9275
_cell_length_c 4.1801
_cell_angle_alpha 90.00
_cell_angle_beta 90.00
_cell_angle_gamma 120.00
_symmetry_space_group_name_H-M 'P 3 m 1'
_symmetry_Int_Tables_number 156
loop_
_symmetry_equiv_pos_as_xyz
'x,y,z'
'-y,x-y,z'
'-x+y,-x,z'
'-y,-x,z'
'-x+y,y,z'
'x,x-y,z'
loop_
_atom_site_label
_atom_site_type_symbol
_atom_site_fract_x
_atom_site_fract_y
_atom_site_fract_z
_atom_site_occupancy
Nd1 Nd 0.0000 0.0000 0.0000 1
Eu1 Eu 0.3333 0.6667 0.5479 1
Ge1 Ge 0.6667 0.3333 0.2334 1
# N(E_F) ... 0.67 states/eV per atom
# Total magnetization ... 7.4 μB/cell
# Volume ... 87.9 Å³/f.u.
# Polymorph energy (0 for the lowest one) ... 124 meV/atom
# Energy of formation from the pure elements ... -1.11 eV/f.u.
# Calculated density ... 6.968 g cm⁻³

Record 3
# NaAl9Pd3 | Alexandria via LeMat-Bulk | PBE | optimized geometry
data_NaAl9Pd3
_chemical_formula_sum 'Na2 Al18 Pd6'
_cell_length_a 5.368
_cell_length_b 12.689
_cell_length_c 6.869
_cell_angle_alpha 90.00
_cell_angle_beta 112.23
_cell_angle_gamma 90.00
_symmetry_space_group_name_H-M 'C 1 2/m 1'
_symmetry_Int_Tables_number 12
loop_
_symmetry_equiv_pos_as_xyz
'x,y,z'
'-x,-y,-z'
'-x,y,-z'
'x,-y,z'
'x+1/2,y+1/2,z'
'-x+1/2,-y+1/2,-z'
'-x+1/2,y+1/2,-z'
'x+1/2,-y+1/2,z'
loop_
_atom_site_label
_atom_site_type_symbol
_atom_site_fract_x
_atom_site_fract_y
_atom_site_fract_z
_atom_site_occupancy
Na1 Na 0.000 0.000 0.000 1
Al1 Al 0.000 0.000 0.500 1
Al2 Al 0.103 0.389 0.216 1
Al3 Al 0.171 0.176 0.343 1
Pd1 Pd 0.000 0.500 0.500 1
Pd2 Pd 0.250 0.250 0.000 1
# N(E_F) ... 0.33 states/eV per atom
# Total magnetization ... 0.0 μB/cell
# Volume ... 216.6 Å³/f.u.
# Energy of formation from the pure elements ... -5.54 eV/f.u.
# Calculated density ... 4.486 g cm⁻³

Record 4
# TmPuCuAu | Alexandria via LeMat-Bulk | PBE | optimized geometry
data_TmPuCuAu
_chemical_formula_sum 'Tm4 Pu4 Cu4 Au4'
_cell_length_a 7.088
_cell_length_b 7.088
_cell_length_c 7.088
_cell_angle_alpha 90.00
_cell_angle_beta 90.00
_cell_angle_gamma 90.00
_symmetry_space_group_name_H-M 'F -4 3 m'
_symmetry_Int_Tables_number 216
_symmetry_space_group_name_Hall 'F -4 2 3'
loop_
_atom_site_label
_atom_site_type_symbol
_atom_site_fract_x
_atom_site_fract_y
_atom_site_fract_z
_atom_site_occupancy
Tm1 Tm 0.000 0.000 0.000 1
Pu1 Pu 0.000 0.000 0.500 1
Cu1 Cu 0.250 0.250 0.250 1
Au1 Au 0.250 0.250 0.750 1
# N(E_F) ... 2.54 states/eV per atom
# Total magnetization ... 22.6 μB/cell
# Volume ... 89.0 Å³/f.u.
# Energy of formation from the pure elements ... -1.26 eV/f.u.
# Calculated density ... 12.561 g cm⁻³

Record 5
# Mg16Al12Fe | Alexandria via LeMat-Bulk | PBE | optimized geometry
data_Mg16Al12Fe
_chemical_formula_sum 'Mg48 Al36 Fe3'
_cell_length_a 14.6275
_cell_length_b 14.6275
_cell_length_c 9.1975
_cell_angle_alpha 90.00
_cell_angle_beta 90.00
_cell_angle_gamma 120.00
_symmetry_space_group_name_H-M 'R 3 m'
_symmetry_Int_Tables_number 160
_symmetry_space_group_name_Hall 'R 3 -2"'
loop_
_atom_site_label
_atom_site_type_symbol
_atom_site_fract_x
_atom_site_fract_y
_atom_site_fract_z
_atom_site_occupancy
Mg1 Mg 0.0000 0.0000 0.0000 1
Mg2 Mg 0.0411 0.3586 0.3714 1
Mg3 Mg 0.0917 0.1834 0.4933 1
Mg4 Mg 0.0990 0.5495 0.5592 1
Mg5 Mg 0.1989 0.3978 0.1264 1
Al1 Al 0.0002 0.1801 0.1918 1
Al2 Al 0.1261 0.0631 0.7190 1
Al3 Al 0.2047 0.4093 0.6144 1
Fe1 Fe 0.0000 0.0000 0.2838 1
# N(E_F) ... 0.47 states/eV per atom
# Total magnetization ... 7.6 μB/cell
# Volume ... 568.1 Å³/f.u.
# Energy of formation from the pure elements ... -0.01 eV/f.u.
# Calculated density ... 2.246 g cm⁻³

Record 6
# SrTcNi2 | Alexandria via LeMat-Bulk | PBE | optimized geometry
data_SrTcNi2
_chemical_formula_sum 'Sr4 Tc4 Ni8'
_cell_length_a 4.859
_cell_length_b 4.859
_cell_length_c 15.582
_cell_angle_alpha 90.00
_cell_angle_beta 90.00
_cell_angle_gamma 90.00
_symmetry_space_group_name_H-M 'I 41/a m d'
_symmetry_Int_Tables_number 141
loop_
_symmetry_equiv_pos_as_xyz
'x,y,z'
'-x,-y,-z'
'-y+1/4,x+3/4,z+1/4'
'y+1/4,-x+3/4,-z+1/4'
'-x+1/2,-y,z+1/2'
'x+1/2,y,-z+1/2'
'y+1/4,-x+1/4,z+3/4'
'-y+1/4,x+1/4,-z+3/4'
'x,-y,-z'
'-x,y,z'
'-y+1/4,-x+1/4,-z+3/4'
'y+1/4,x+1/4,z+3/4'
'-x+1/2,y,-z+1/2'
'x+1/2,-y,z+1/2'
'y+1/4,x+3/4,-z+1/4'
'-y+1/4,-x+3/4,z+1/4'
'x+1/2,y+1/2,z+1/2'
'-x+1/2,-y+1/2,-z+1/2'
'-y+3/4,x+1/4,z+3/4'
'y+3/4,-x+1/4,-z+3/4'
'-x,-y+1/2,z'
'x,y+1/2,-z'
'y+3/4,-x+3/4,z+1/4'
'-y+3/4,x+3/4,-z+1/4'
'x+1/2,-y+1/2,-z+1/2'
'-x+1/2,y+1/2,z+1/2'
'-y+3/4,-x+3/4,-z+1/4'
'y+3/4,x+3/4,z+1/4'
'-x,y+1/2,-z'
'x,-y+1/2,z'
'y+3/4,x+1/4,-z+3/4'
'-y+3/4,-x+1/4,z+3/4'
loop_
_atom_site_label
_atom_site_type_symbol
_atom_site_fract_x
_atom_site_fract_y
_atom_site_fract_z
_atom_site_occupancy
Sr1 Sr 0.000 0.250 0.375 1
Tc1 Tc 0.000 0.250 0.875 1
Ni1 Ni 0.000 0.000 0.000 1
# N(E_F) ... 0.85 states/eV per atom
# Total magnetization ... 4.0 μB/cell
# Volume ... 92.0 Å³/f.u.
# Polymorph energy (0 for the lowest one) ... 466 meV/atom
# Energy of formation from the pure elements ... 2.38 eV/f.u.
# Calculated density ... 5.472 g cm⁻³

Record 7
# ZrScPb2 | Alexandria via LeMat-Bulk | PBE | optimized geometry
data_ZrScPb2
_chemical_formula_sum 'Zr4 Sc4 Pb8'
_cell_length_a 8.051
_cell_length_b 8.051
_cell_length_c 6.438
_cell_angle_alpha 90.00
_cell_angle_beta 90.00
_cell_angle_gamma 90.00
_symmetry_space_group_name_H-M 'I -4 2 d'
_symmetry_Int_Tables_number 122
_symmetry_space_group_name_Hall 'I -4 2bw'
loop_
_atom_site_label
_atom_site_type_symbol
_atom_site_fract_x
_atom_site_fract_y
_atom_site_fract_z
_atom_site_occupancy
Zr1 Zr 0.000 0.000 0.000 1
Sc1 Sc 0.000 0.000 0.500 1
Pb1 Pb 0.248 0.250 0.625 1
# N(E_F) ... 0.92 states/eV per atom
# Total magnetization ... 0.0 μB/cell
# Volume ... 104.3 Å³/f.u.
# Polymorph energy (0 for the lowest one) ... 222 meV/atom
# Energy of formation from the pure elements ... -0.17 eV/f.u.
# Calculated density ... 8.763 g cm⁻³

Record 8
# Ce3Sm | Alexandria via LeMat-Bulk | PBE | optimized geometry
data_Ce3Sm
_chemical_formula_sum 'Ce6 Sm2'
_cell_length_a 3.392
_cell_length_b 11.402
_cell_length_c 5.981
_cell_angle_alpha 90.00
_cell_angle_beta 90.00
_cell_angle_gamma 90.00
_symmetry_space_group_name_H-M 'I m m 2'
_symmetry_Int_Tables_number 44
loop_
_symmetry_equiv_pos_as_xyz
'x,y,z'
'-x,-y,z'
'-x,y,z'
'x,-y,z'
'x+1/2,y+1/2,z+1/2'
'-x+1/2,-y+1/2,z+1/2'
'-x+1/2,y+1/2,z+1/2'
'x+1/2,-y+1/2,z+1/2'
loop_
_atom_site_label
_atom_site_type_symbol
_atom_site_fract_x
_atom_site_fract_y
_atom_site_fract_z
_atom_site_occupancy
Ce1 Ce 0.000 0.000 0.000 1
Ce2 Ce 0.000 0.263 0.620 1
Sm1 Sm 0.000 0.500 0.007 1
# N(E_F) ... 2.90 states/eV per atom
# Total magnetization ... 0.7 μB/cell
# Volume ... 115.7 Å³/f.u.
# Polymorph energy (0 for the lowest one) ... 36 meV/atom
# Energy of formation from the pure elements ... 0.57 eV/f.u.
# Calculated density ... 8.194 g cm⁻³

Q: Number 8 is which compound?
A: Ce3Sm